Y2ErO4: relaxed, PBE.

```
14
Lattice="6.7807 0.2453 -0.1089 -0.2441 6.7807 0.1094 -3.1880 -3.5870 4.7993" Properties=species:S:1:pos:R:3 pbc="T T T"
Y 1.7554 0.0059 3.5724
Y 3.2273 5.1897 1.2275
Y 3.3494 1.7994 1.1728
Y -1.6350 -0.1168 3.6269
Er -0.0827 3.3541 2.4545
Er -0.2434 6.7799 0.1094
O 5.0335 0.1624 1.1742
O 1.6652 3.4363 1.1714
O 3.3917 1.6897 3.5168
O 3.5077 -1.5543 3.4643
O 1.7896 0.0443 1.2260
O 0.1190 -1.6780 3.6280
O 0.0030 1.5660 3.6806
O 4.9092 3.5545 1.1195
```

Properties
energy relative to the elements, uncorrected: -22.56 eV/f.u.
electronic total energy: -119.76 eV for the cell shown

KAc3Pd: relaxed, PBE.

```
5
Lattice="6.1184 0.0000 0.0000 0.0000 6.1184 0.0000 0.0000 0.0000 6.1184" Properties=species:S:1:pos:R:3 pbc="T T T"
Ac 0.0000 3.0592 0.0000
Ac 0.0000 0.0000 3.0592
Ac 3.0592 0.0000 0.0000
K 3.0592 3.0592 3.0592
Pd 0.0000 0.0000 0.0000
```

Properties
E_form: -0.10 eV/atom
electronic total energy: -19.12 eV for the cell shown

La2MgN: relaxed, PBE.

```
4
Lattice="0.3477 -2.9528 4.1179 -1.4351 1.7849 4.5334 -4.2117 -1.7789 2.2123" Properties=species:S:1:pos:R:3 pbc="T T T"
Mg -2.6496 -1.4734 5.4318
N 0.0000 0.0000 0.0000
La -1.3248 -0.7367 2.7159
La -3.9744 -2.2101 8.1477
```

Properties
energy relative to the elements, uncorrected: 1.75 eV/f.u.
ΔE to the lowest computed polymorph: 1.1006 eV per atom
electronic total energy: -18.02 eV for the cell shown

Mg3RhPb: relaxed, PBE.

```
5
Lattice="-0.6209 4.4333 2.1585 -3.4249 1.1774 -3.4033 -3.5473 -1.9127 2.9081" Properties=species:S:1:pos:R:3 pbc="T T T"
Pb -3.7965 1.8490 0.8317
Mg -1.7124 0.5887 -1.7016
Mg -1.7736 -0.9564 1.4540
Mg -0.3104 2.2166 1.0793
Rh 0.0000 0.0000 0.0000
```

Properties
E_form: -0.06 eV/atom
ΔE to the lowest computed polymorph: 0.2049 eV per atom
electronic total energy: -16.13 eV for the cell shown

Dy4TcCl5: relaxed, PBE.

```
10
Lattice="-2.2119 -0.6277 -2.9089 7.0184 -2.9802 -4.6936 -2.1988 -6.8374 5.5105" Properties=species:S:1:pos:R:3 pbc="T T T"
Dy 4.1342 -7.7820 -1.4643
Dy 0.9319 -9.6534 -0.9886
Dy -1.5264 -2.6633 -0.6277
Dy 1.6759 -0.7920 -1.1034
Tc -1.1059 -0.3139 -1.4544
Cl 1.5109 -7.0692 -1.9865
Cl -2.2906 -5.4016 0.5443
Cl 4.8984 -5.0437 -2.6363
Cl 2.4033 -1.8040 -3.8012
Cl 1.0969 -3.3761 -0.1055
```

Properties
energy relative to the elements, uncorrected: -14.99 eV/f.u.
electronic total energy: -53.00 eV for the cell shown

GaCuH2: relaxed, PBE.

```
4
Lattice="0.0000 2.6604 2.6604 2.6604 0.0000 2.6604 2.6604 2.6604 0.0000" Properties=species:S:1:pos:R:3 pbc="T T T"
H 1.3302 1.3302 1.3302
H 3.9905 3.9905 3.9905
Cu 0.0000 0.0000 0.0000
Ga 2.6604 2.6604 2.6604
```

Properties
ΔE to the lowest computed polymorph: 0.3932 eV per atom
electronic total energy: -11.14 eV for the cell shown

TmTl2OsO8: relaxed, PBE.

```
12
Lattice="5.0818 -0.0761 -0.0030 -0.0570 5.0753 -0.0058 0.0040 0.0075 6.6537" Properties=species:S:1:pos:R:3 pbc="T T T"
Tm 0.0020 0.0037 3.3269
Tl 2.5154 2.5052 4.9854
Tl 2.5134 2.5015 1.6595
Os 0.0000 0.0000 0.0000
O 0.8400 4.1634 1.4105
O 3.6599 3.6593 -0.0064
O 4.1865 0.8390 1.4123
O 4.1888 0.8432 5.2344
O 1.3689 1.3473 6.6513
O 0.8423 4.1677 5.2326
O 3.5075 3.5111 3.3209
O 1.5213 1.4955 3.3240
```

Properties
energy relative to the elements, uncorrected: -15.59 eV/f.u.
electronic total energy: -75.69 eV for the cell shown

PmSmBi: relaxed, PBE.

```
3
Lattice="-1.6357 -2.4062 3.0122 -1.3680 -2.6970 -2.8972 6.0169 -0.0984 0.2774" Properties=species:S:1:pos:R:3 pbc="T T T"
Bi -0.4544 -3.1664 0.1352
Sm 2.6552 -4.9915 0.3659
Pm 2.4709 -1.4503 0.1833
```

Properties
E_form: -0.51 eV/atom
ΔE to the lowest computed polymorph: 0.1369 eV per atom
electronic total energy: -14.90 eV for the cell shown

Ρ (kg/m³)
6145 5992 5666 5182 5415 5966 8671 9102